No. 1
This record from the Open Quantum Materials Database describes an optimized crystal structure of HfS2. The functional is PBE. Values from VASP.

Output
The calculation puts the raw total energy at -7.53 eV per atom. The calculation puts the magnetic moment at 0.00 μB/f.u. For the volume, the calculation gives 22.7 Å³/atom.

```
&SYSTEM
  ibrav = 0, nat = 6, ntyp = 2
/
ATOMIC_SPECIES
Hf 178.49 Hf.upf
S 32.06 S.upf
CELL_PARAMETERS angstrom
6.0637 0.0000 0.0000
0.0000 6.0637 0.0000
0.0000 0.0000 3.7016
ATOMIC_POSITIONS crystal
Hf 0.0000 0.0000 0.0000
Hf 0.5000 0.5000 0.5000
S 0.1981 0.1981 0.5000
S 0.3019 0.6981 0.0000
S 0.6981 0.3019 0.0000
S 0.8019 0.8019 0.5000
```

---

No. 2
This record from the Open Quantum Materials Database describes an optimized crystal structure of HfS2. The functional is PBE. Values from VASP.

Output
The calculation puts the raw total energy at -7.36 eV per atom. The calculation puts the magnetic moment at 0.00 μB/f.u. For the volume, the calculation gives 20.6 Å³/atom.

```
&SYSTEM
  ibrav = 0, nat = 12, ntyp = 2
/
ATOMIC_SPECIES
Hf 178.49 Hf.upf
S 32.06 S.upf
CELL_PARAMETERS angstrom
6.2769 0.0000 0.0000
0.0000 6.2769 0.0000
0.0000 0.0000 6.2769
ATOMIC_POSITIONS crystal
Hf 0.0000 0.0000 0.0000
Hf 0.0000 0.5000 0.5000
Hf 0.5000 0.0000 0.5000
Hf 0.5000 0.5000 0.0000
S 0.1505 0.6505 0.8495
S 0.1505 0.8495 0.3495
S 0.3495 0.1505 0.8495
S 0.3495 0.3495 0.3495
S 0.6505 0.6505 0.6505
S 0.6505 0.8495 0.1505
S 0.8495 0.1505 0.6505
S 0.8495 0.3495 0.1505
```

---

No. 3
This record from the Open Quantum Materials Database describes an optimized crystal structure of HfS2. The functional is PBE. Values from VASP.

Output
The calculation puts the raw total energy at -7.65 eV per atom. The calculation puts the magnetic moment at 0.00 μB/f.u. For the volume, the calculation gives 23.6 Å³/atom.

```
&SYSTEM
  ibrav = 0, nat = 3, ntyp = 2
/
ATOMIC_SPECIES
Hf 178.49 Hf.upf
S 32.06 S.upf
CELL_PARAMETERS angstrom
3.6363 0.0000 0.0000
-1.8181 3.1491 0.0000
0.0000 0.0000 6.1866
ATOMIC_POSITIONS crystal
Hf 0.0000 0.0000 0.0000
S 0.3333 0.6667 0.7661
S 0.6667 0.3333 0.2339
```

---

No. 4
This record from the Open Quantum Materials Database describes an optimized crystal structure of HfS2. The functional is PBE. Values from VASP.

Output
The calculation puts the raw total energy at -7.36 eV per atom. The calculation puts the magnetic moment at 0.00 μB/f.u. For the volume, the calculation gives 20.6 Å³/atom.

```
&SYSTEM
  ibrav = 0, nat = 12, ntyp = 2
/
ATOMIC_SPECIES
Hf 178.49 Hf.upf
S 32.06 S.upf
CELL_PARAMETERS angstrom
6.2724 0.0000 0.0000
0.0000 6.2750 0.0000
0.0000 0.0000 6.2867
ATOMIC_POSITIONS crystal
Hf 0.0000 0.0000 0.0000
Hf 0.0000 0.5000 0.5000
Hf 0.5000 0.0000 0.5000
Hf 0.5000 0.5000 0.0000
S 0.1511 0.1519 0.3474
S 0.1511 0.3481 0.8474
S 0.3489 0.6519 0.3474
S 0.3489 0.8481 0.8474
S 0.6511 0.1519 0.1526
S 0.6511 0.3481 0.6526
S 0.8489 0.6519 0.1526
S 0.8489 0.8481 0.6526
```

---

No. 5
This record from the Open Quantum Materials Database describes an optimized crystal structure of HfSe2S. The functional is PBE. Values from VASP.

Output
The calculation puts the raw total energy at -6.36 eV per atom. The calculation puts the magnetic moment at 0.00 μB/f.u. For the volume, the calculation gives 23.4 Å³/atom.

```
&SYSTEM
  ibrav = 0, nat = 8, ntyp = 3
/
ATOMIC_SPECIES
Hf 178.49 Hf.upf
Se 78.96 Se.upf
S 32.06 S.upf
CELL_PARAMETERS angstrom
5.2765 0.0000 0.0000
0.0000 3.6912 0.0000
-1.2027 0.0000 9.6137
ATOMIC_POSITIONS crystal
Hf 0.2187 0.2500 0.3584
Hf 0.7813 0.7500 0.6416
Se 0.0498 0.2500 0.8114
Se 0.4001 0.7500 0.1825
Se 0.5999 0.2500 0.8175
Se 0.9502 0.7500 0.1886
S 0.2612 0.7500 0.5468
S 0.7388 0.2500 0.4532
```

---

No. 6
This record from the Open Quantum Materials Database describes an optimized crystal structure of HfSiS. The functional is PBE. Values from VASP.

Output
The calculation puts the raw total energy at -7.65 eV per atom. The calculation puts the magnetic moment at 0.00 μB/f.u. For the volume, the calculation gives 16.7 Å³/atom.

```
&SYSTEM
  ibrav = 0, nat = 6, ntyp = 3
/
ATOMIC_SPECIES
Hf 178.49 Hf.upf
Si 28.09 Si.upf
S 32.06 S.upf
CELL_PARAMETERS angstrom
3.5315 0.0000 0.0000
0.0000 3.5315 0.0000
0.0000 0.0000 8.0112
ATOMIC_POSITIONS crystal
Hf 0.2500 0.2500 0.2312
Hf 0.7500 0.7500 0.7688
Si 0.2500 0.7500 0.5000
Si 0.7500 0.2500 0.5000
S 0.2500 0.2500 0.8797
S 0.7500 0.7500 0.1203
```

---

No. 7
This record from the Open Quantum Materials Database describes an optimized crystal structure of Sm2HfS5. The functional is PBE. Values from VASP.

Output
The calculation puts the raw total energy at -6.90 eV per atom. The calculation puts the magnetic moment at 0.00 μB/f.u. For the volume, the calculation gives 20.9 Å³/atom.

```
&SYSTEM
  ibrav = 0, nat = 32, ntyp = 3
/
ATOMIC_SPECIES
Sm 150.36 Sm.upf
Hf 178.49 Hf.upf
S 32.06 S.upf
CELL_PARAMETERS angstrom
11.5812 0.0000 0.0000
0.0000 7.8906 0.0000
0.0000 0.0000 7.3259
ATOMIC_POSITIONS crystal
Sm 0.1771 0.0019 0.0298
Sm 0.1771 0.4981 0.0298
Sm 0.3229 0.5019 0.5298
Sm 0.3229 0.9981 0.5298
Sm 0.6771 0.0019 0.4702
Sm 0.6771 0.4981 0.4702
Sm 0.8229 0.5019 0.9702
Sm 0.8229 0.9981 0.9702
Hf 0.0070 0.7500 0.5744
Hf 0.4930 0.2500 0.0744
Hf 0.5070 0.7500 0.9256
Hf 0.9930 0.2500 0.4256
S 0.0046 0.7500 0.9435
S 0.0884 0.0359 0.6630
S 0.0884 0.4641 0.6630
S 0.1823 0.7500 0.3383
S 0.2061 0.2500 0.3176
S 0.2939 0.7500 0.8176
S 0.3177 0.2500 0.8383
S 0.4116 0.5359 0.1630
S 0.4116 0.9641 0.1630
S 0.4954 0.2500 0.4435
S 0.5046 0.7500 0.5565
S 0.5884 0.0359 0.8370
S 0.5884 0.4641 0.8370
S 0.6823 0.7500 0.1617
S 0.7061 0.2500 0.1824
S 0.7939 0.7500 0.6824
S 0.8177 0.2500 0.6617
S 0.9116 0.5359 0.3370
S 0.9116 0.9641 0.3370
S 0.9954 0.2500 0.0565
```

---

No. 8
This record from the Open Quantum Materials Database describes an optimized crystal structure of HfSnS4. The functional is PBE. Values from VASP.

Output
The calculation puts the raw total energy at -6.00 eV per atom. The calculation puts the magnetic moment at 0.00 μB/f.u. For the volume, the calculation gives 24.9 Å³/atom.

```
&SYSTEM
  ibrav = 0, nat = 12, ntyp = 3
/
ATOMIC_SPECIES
Hf 178.49 Hf.upf
Sn 118.71 Sn.upf
S 32.06 S.upf
CELL_PARAMETERS angstrom
6.7529 0.0000 0.0000
2.2898 6.9387 0.0000
0.3560 3.7228 6.3698
ATOMIC_POSITIONS crystal
Hf 0.0006 0.2482 0.0010
Hf 0.9994 0.7518 0.9990
Sn 0.0056 0.7468 0.5028
Sn 0.9944 0.2532 0.4972
S 0.2277 0.9993 0.8696
S 0.2304 0.0027 0.3651
S 0.2298 0.4993 0.3640
S 0.2317 0.4956 0.8744
S 0.7683 0.5044 0.1256
S 0.7702 0.5007 0.6360
S 0.7696 0.9973 0.6349
S 0.7723 0.0007 0.1304
```

---

No. 9
This record from the Open Quantum Materials Database describes an optimized crystal structure of SrHfS3. The functional is PBE. Values from VASP.

Output
The calculation puts the raw total energy at -6.62 eV per atom. The calculation puts the magnetic moment at 0.00 μB/f.u. For the volume, the calculation gives 23.3 Å³/atom.

```
&SYSTEM
  ibrav = 0, nat = 20, ntyp = 3
/
ATOMIC_SPECIES
Sr 87.62 Sr.upf
Hf 178.49 Hf.upf
S 32.06 S.upf
CELL_PARAMETERS angstrom
7.0938 0.0000 0.0000
0.0000 9.7562 0.0000
0.0000 0.0000 6.7458
ATOMIC_POSITIONS crystal
Sr 0.0775 0.2500 0.0234
Sr 0.4225 0.7500 0.5234
Sr 0.5775 0.2500 0.4766
Sr 0.9225 0.7500 0.9766
Hf 0.0000 0.0000 0.5000
Hf 0.0000 0.5000 0.5000
Hf 0.5000 0.0000 0.0000
Hf 0.5000 0.5000 0.0000
S 0.0170 0.7500 0.4065
S 0.1981 0.5479 0.8058
S 0.1981 0.9521 0.8058
S 0.3019 0.0479 0.3058
S 0.3019 0.4521 0.3058
S 0.4830 0.2500 0.9065
S 0.5170 0.7500 0.0935
S 0.6981 0.5479 0.6942
S 0.6981 0.9521 0.6942
S 0.8019 0.0479 0.1942
S 0.8019 0.4521 0.1942
S 0.9830 0.2500 0.5935
```

---

No. 10
This record from the Open Quantum Materials Database describes an optimized crystal structure of SrHfS3. The functional is PBE. Values from VASP.

Output
The calculation puts the raw total energy at -6.62 eV per atom. The calculation puts the magnetic moment at 0.00 μB/f.u. For the volume, the calculation gives 22.8 Å³/atom.

```
&SYSTEM
  ibrav = 0, nat = 20, ntyp = 3
/
ATOMIC_SPECIES
Sr 87.62 Sr.upf
Hf 178.49 Hf.upf
S 32.06 S.upf
CELL_PARAMETERS angstrom
8.6043 0.0000 0.0000
0.0000 3.8019 0.0000
0.0000 0.0000 13.9393
ATOMIC_POSITIONS crystal
Sr 0.0603 0.2500 0.1795
Sr 0.4397 0.7500 0.6795
Sr 0.5603 0.2500 0.3205
Sr 0.9397 0.7500 0.8205
Hf 0.1710 0.7500 0.4441
Hf 0.3290 0.2500 0.9441
Hf 0.6710 0.7500 0.0559
Hf 0.8290 0.2500 0.5559
S 0.0151 0.7500 0.6050
S 0.1641 0.7500 0.0135
S 0.2110 0.2500 0.7847
S 0.2890 0.7500 0.2847
S 0.3359 0.2500 0.5135
S 0.4849 0.2500 0.1050
S 0.5151 0.7500 0.8950
S 0.6641 0.7500 0.4865
S 0.7110 0.2500 0.7153
S 0.7890 0.7500 0.2153
S 0.8359 0.2500 0.9865
S 0.9849 0.2500 0.3950
```

---

No. 11
This record from the Open Quantum Materials Database describes an optimized crystal structure of Sr2HfTcS6. The functional is PBE. Values from VASP.

Output
The calculation puts the raw total energy at -6.16 eV per atom. The calculation puts the magnetic moment at 2.92 μB/f.u. For the volume, the calculation gives 22.4 Å³/atom.

```
&SYSTEM
  ibrav = 0, nat = 10, ntyp = 4
/
ATOMIC_SPECIES
Sr 87.62 Sr.upf
Hf 178.49 Hf.upf
Tc 98.00 Tc.upf
S 32.06 S.upf
CELL_PARAMETERS angstrom
6.7080 0.0000 0.0000
3.2934 5.9219 0.0000
3.2114 2.0003 5.6456
ATOMIC_POSITIONS crystal
Sr 0.2399 0.2461 0.2671
Sr 0.7601 0.7539 0.7329
Hf 0.0000 0.0000 0.0000
Tc 0.5000 0.5000 0.5000
S 0.1911 0.3174 0.7020
S 0.2197 0.8026 0.6871
S 0.3462 0.7502 0.1654
S 0.6538 0.2498 0.8346
S 0.7803 0.1974 0.3129
S 0.8089 0.6826 0.2980
```

---

No. 12
This record from the Open Quantum Materials Database describes an optimized crystal structure of Tb2HfS5. The functional is PBE. Values from VASP.

Output
The calculation puts the raw total energy at -6.87 eV per atom. The calculation puts the magnetic moment at 0.00 μB/f.u. For the volume, the calculation gives 20.3 Å³/atom.

```
&SYSTEM
  ibrav = 0, nat = 32, ntyp = 3
/
ATOMIC_SPECIES
Tb 158.93 Tb.upf
Hf 178.49 Hf.upf
S 32.06 S.upf
CELL_PARAMETERS angstrom
11.5337 0.0000 0.0000
0.0000 7.7556 0.0000
0.0000 0.0000 7.2620
ATOMIC_POSITIONS crystal
Tb 0.1785 0.0027 0.0234
Tb 0.1785 0.4973 0.0234
Tb 0.3215 0.5027 0.5234
Tb 0.3215 0.9973 0.5234
Tb 0.6785 0.0027 0.4766
Tb 0.6785 0.4973 0.4766
Tb 0.8215 0.5027 0.9766
Tb 0.8215 0.9973 0.9766
Hf 0.0064 0.7500 0.5759
Hf 0.4936 0.2500 0.0759
Hf 0.5064 0.7500 0.9241
Hf 0.9936 0.2500 0.4241
S 0.0039 0.7500 0.9465
S 0.0925 0.0366 0.6609
S 0.0925 0.4634 0.6609
S 0.1810 0.7500 0.3331
S 0.2071 0.2500 0.3113
S 0.2929 0.7500 0.8113
S 0.3190 0.2500 0.8331
S 0.4075 0.5366 0.1609
S 0.4075 0.9634 0.1609
S 0.4961 0.2500 0.4465
S 0.5039 0.7500 0.5535
S 0.5925 0.0366 0.8391
S 0.5925 0.4634 0.8391
S 0.6810 0.7500 0.1669
S 0.7071 0.2500 0.1887
S 0.7929 0.7500 0.6887
S 0.8190 0.2500 0.6669
S 0.9075 0.5366 0.3391
S 0.9075 0.9634 0.3391
S 0.9961 0.2500 0.0535
```